# 1
# KPb2Au (PBE-GGA, optimized geometry)
# E, eV/atom: -2.96
# Energy of formation from the pure elements, eV per atom: -0.01
# Calculated density, kg/m3: 9457
data_KPb2Au
_chemical_formula_sum 'K1 Pb2 Au1'
_cell_length_a 4.774
_cell_length_b 4.774
_cell_length_c 5.012
_cell_angle_alpha 90.00
_cell_angle_beta 90.00
_cell_angle_gamma 90.00
_space_group_name_H-M_alt 'P 4/m m m'
_space_group_IT_number 123
_space_group_name_Hall '-P 4 2'
loop_
_atom_site_label
_atom_site_type_symbol
_atom_site_fract_x
_atom_site_fract_y
_atom_site_fract_z
K1 K 0.000 0.000 0.000
Pb1 Pb 0.000 0.500 0.500
Au1 Au 0.500 0.500 0.000

# 2
# CdSnGeBr6 (PBE-GGA, optimized geometry)
# E, eV/atom: -2.87
# Raw formation energy, eV per atom: -0.6946
# Calculated density, kg/m3: 4459
data_CdSnGeBr6
_chemical_formula_sum 'Cd2 Sn2 Ge2 Br12'
_cell_length_a 7.1347
_cell_length_b 7.1347
_cell_length_c 13.2314
_cell_angle_alpha 90.00
_cell_angle_beta 90.00
_cell_angle_gamma 120.00
_space_group_name_H-M_alt 'P -3 1 c'
_space_group_IT_number 163
_space_group_name_Hall '-P 3 2c'
loop_
_atom_site_label
_atom_site_type_symbol
_atom_site_fract_x
_atom_site_fract_y
_atom_site_fract_z
Cd1 Cd 0.3333 0.6667 0.2500
Sn1 Sn 0.0000 0.0000 0.0000
Ge1 Ge 0.3333 0.6667 0.7500
Br1 Br 0.0011 0.3500 0.1286

# 3
# Pm12Y7Tm (PBE-GGA, optimized geometry)
# Energy above the lowest structure with this stoichiometry, meV/atom: 0.0
# E, eV/atom: -5.12
# Energy of formation from the pure elements, eV per atom: 0.22
# Calculated density, kg/m3: 6141
data_Pm12Y7Tm
_chemical_formula_sum 'Pm36 Y21 Tm3'
_cell_length_a 12.2526
_cell_length_b 12.2526
_cell_length_c 15.7933
_cell_angle_alpha 90.00
_cell_angle_beta 90.00
_cell_angle_gamma 120.00
_space_group_name_H-M_alt 'R -3'
_space_group_IT_number 148
_space_group_name_Hall '-R 3'
loop_
_atom_site_label
_atom_site_type_symbol
_atom_site_fract_x
_atom_site_fract_y
_atom_site_fract_z
Pm1 Pm 0.0221 0.5727 0.2207
Pm2 Pm 0.0573 0.4674 0.5811
Y1 Y 0.0000 0.0000 0.0000
Y2 Y 0.0535 0.8659 0.2970
Tm1 Tm 0.0000 0.0000 0.5000

# 4
# Cd2MoIr (PBE-GGA, optimized geometry)
# Energy above the lowest structure with this stoichiometry, meV/atom: 419.8
# E, eV/atom: -4.95
# Energy of formation from the pure elements, eV per atom: 0.43
# Calculated density, kg/m3: 12184
data_Cd2MoIr
_chemical_formula_sum 'Cd4 Mo2 Ir2'
_cell_length_a 3.107
_cell_length_b 4.698
_cell_length_c 9.580
_cell_angle_alpha 90.00
_cell_angle_beta 90.00
_cell_angle_gamma 90.00
_space_group_name_H-M_alt 'C m m m'
_space_group_IT_number 65
_space_group_name_Hall '-C 2 2'
loop_
_atom_site_label
_atom_site_type_symbol
_atom_site_fract_x
_atom_site_fract_y
_atom_site_fract_z
Cd1 Cd 0.000 0.000 0.243
Mo1 Mo 0.000 0.500 0.500
Ir1 Ir 0.000 0.500 0.000

# 5
# SiTc2SbF (PBE-GGA, optimized geometry)
# E, eV/atom: -6.39
# Raw formation energy, eV per atom: 0.0382
# Calculated density, kg/m3: 7512
data_SiTc2SbF
_chemical_formula_sum 'Si1 Tc2 Sb1 F1'
_cell_length_a 4.725
_cell_length_b 4.725
_cell_length_c 3.613
_cell_angle_alpha 90.00
_cell_angle_beta 90.00
_cell_angle_gamma 90.00
_space_group_name_H-M_alt 'P 4/m m m'
_space_group_IT_number 123
_space_group_name_Hall '-P 4 2'
loop_
_atom_site_label
_atom_site_type_symbol
_atom_site_fract_x
_atom_site_fract_y
_atom_site_fract_z
Si1 Si 0.000 0.000 0.000
Tc1 Tc 0.000 0.500 0.000
Sb1 Sb 0.500 0.500 0.500
F1 F 0.000 0.000 0.500

# 6
# SmThPt4 (PBE-GGA, optimized geometry)
# E, eV/atom: -7.11
# Energy of formation from the pure elements, eV per atom: -1.06
# Calculated density, kg/m3: 16315
data_SmThPt4
_chemical_formula_sum 'Sm4 Th4 Pt16'
_cell_length_a 7.793
_cell_length_b 7.793
_cell_length_c 7.793
_cell_angle_alpha 90.00
_cell_angle_beta 90.00
_cell_angle_gamma 90.00
_space_group_name_H-M_alt 'F -4 3 m'
_space_group_IT_number 216
_space_group_name_Hall 'F -4 2 3'
loop_
_atom_site_label
_atom_site_type_symbol
_atom_site_fract_x
_atom_site_fract_y
_atom_site_fract_z
Sm1 Sm 0.000 0.000 0.000
Th1 Th 0.250 0.250 0.750
Pt1 Pt 0.125 0.125 0.375

The lowest calculated density belongs to which entry? CdSnGeBr6

The highest E belongs to which entry? CdSnGeBr6

Among the records above, which one has the lowest calculated density? CdSnGeBr6